# FeSiO2

An optimized crystal structure of FeSiO2 (GGA+U, Alexandria via LeMat-Bulk).

Computed properties:
The calculation puts the total energy at -6.547 eV/atom. The calculated volume is 47 Å³ per cell. Its density of states at the Fermi level is 0.69 states/eV/f.u.

Lattice parameters (Å, degrees): 5.950 5.950 5.950 30.04 30.04 30.04
Fractional positions:
Fe 0.000 0.000 0.000
Si 0.500 0.500 0.500
O 0.401 0.401 0.401
O 0.599 0.599 0.599